Material: Na3CaSn12
Method: DFT, GGA-PBE
State: optimized geometry

Geometry as POSCAR:
```
Na3CaSn12
1.0
4.693 0.000 0.000
0.000 4.693 0.000
0.000 0.000 19.457
Na Ca Sn
3 1 12
direct
0.000 0.000 0.000
0.000 0.000 0.251
0.000 0.000 0.749
0.000 0.000 0.500
0.000 0.500 0.125
0.000 0.500 0.374
0.000 0.500 0.626
0.000 0.500 0.875
0.500 0.000 0.125
0.500 0.000 0.374
0.500 0.000 0.626
0.500 0.000 0.875
0.500 0.500 0.000
0.500 0.500 0.249
0.500 0.500 0.500
0.500 0.500 0.751
```

Calculated volume (Å³/cell): 428
N(E_F) (states/eV/f.u.): 7.18
E_tot (hartree per atom): -0.13032
Size of the total moment (μB/cell): 0.0

=====

Material: NaCaSn4
Method: DFT, GGA-PBE
State: optimized geometry

Geometry as POSCAR:
```
NaCaSn4
1.0
7.727 0.000 0.000
0.000 4.467 0.000
-2.551 0.000 11.166
Na Ca Sn
2 2 8
direct
0.000 0.000 0.000
0.500 0.500 0.000
0.000 0.500 0.500
0.500 0.000 0.500
0.102 0.500 0.809
0.105 0.000 0.316
0.395 0.500 0.684
0.398 0.000 0.191
0.602 0.000 0.809
0.605 0.500 0.316
0.895 0.000 0.684
0.898 0.500 0.191
```

Calculated volume (Å³/cell): 385
Offset from the most stable computed form (eV/atom): 0.000
N(E_F) (states/eV/f.u.): 2.43
Size of the total moment (μB/cell): 0.0

=====

Material: NaCaSn4
Method: DFT, GGA-PBE
State: optimized geometry

Geometry as POSCAR:
```
NaCaSn4
1.0
0.000 4.458 4.458
4.458 0.000 4.458
4.458 4.458 0.000
Na Ca Sn
1 1 4
direct
0.000 0.000 0.000
0.250 0.250 0.250
0.125 0.625 0.625
0.625 0.125 0.625
0.625 0.625 0.125
0.625 0.625 0.625
```

Calculated volume (Å³/cell): 177
Offset from the most stable computed form (eV/atom): 0.057
N(E_F) (states/eV/f.u.): 8.81
Size of the total moment (μB/cell): 0.0

=====

Material: NaCaSn6
Method: DFT, GGA-PBE
State: optimized geometry

Geometry as POSCAR:
```
NaCaSn6
1.0
5.357 0.000 0.000
0.000 6.870 0.000
0.000 0.000 11.878
Na Ca Sn
2 2 12
direct
0.000 0.000 0.000
0.000 0.500 0.500
0.500 0.000 0.668
0.500 0.500 0.168
0.000 0.000 0.486
0.000 0.228 0.258
0.000 0.272 0.758
0.000 0.500 0.986
0.000 0.728 0.758
0.000 0.772 0.258
0.500 0.000 0.161
0.500 0.241 0.921
0.500 0.259 0.421
0.500 0.500 0.661
0.500 0.741 0.421
0.500 0.759 0.921
```

Calculated volume (Å³/cell): 437
Offset from the most stable computed form (eV/atom): 0.008
N(E_F) (states/eV/f.u.): 2.83
Size of the total moment (μB/cell): 0.0

=====

Material: Na2CaSn9
Method: DFT, GGA-PBE
State: optimized geometry

Geometry as POSCAR:
```
Na2CaSn9
1.0
4.750 0.000 0.000
0.000 4.750 0.000
0.000 0.000 14.238
Na Ca Sn
2 1 9
direct
0.000 0.000 0.168
0.000 0.000 0.832
0.000 0.000 0.500
0.000 0.500 0.000
0.000 0.500 0.332
0.000 0.500 0.668
0.500 0.000 0.000
0.500 0.000 0.332
0.500 0.000 0.668
0.500 0.500 0.165
0.500 0.500 0.500
0.500 0.500 0.835
```

Calculated volume (Å³/cell): 321
N(E_F) (states/eV/f.u.): 7.26
E_tot (hartree per atom): -0.13147
Size of the total moment (μB/cell): 0.0

=====

Material: NaCa5Sn6
Method: DFT, GGA-PBE
State: optimized geometry

Geometry as POSCAR:
```
NaCa5Sn6
1.0
-2.425 4.666 7.320
2.425 -4.666 7.320
2.425 4.666 -7.320
Na Ca Sn
1 5 6
direct
0.000 0.000 0.000
0.158 0.658 0.500
0.331 0.331 0.000
0.500 0.000 0.500
0.669 0.669 0.000
0.842 0.342 0.500
0.083 0.832 0.251
0.253 0.500 0.753
0.419 0.168 0.251
0.581 0.832 0.749
0.747 0.500 0.247
0.917 0.168 0.749
```

Calculated volume (Å³/cell): 331
N(E_F) (states/eV/f.u.): 3.71
E_tot (hartree per atom): -0.12846
Size of the total moment (μB/cell): 0.0

=====

Material: NaCaSn6
Method: DFT, GGA-PBE
State: optimized geometry

Geometry as POSCAR:
```
NaCaSn6
1.0
4.726 0.000 0.000
0.000 4.726 0.000
0.000 0.000 9.583
Na Ca Sn
1 1 6
direct
0.000 0.000 0.000
0.000 0.000 0.500
0.000 0.500 0.247
0.000 0.500 0.753
0.500 0.000 0.247
0.500 0.000 0.753
0.500 0.500 0.000
0.500 0.500 0.500
```

Calculated volume (Å³/cell): 214
Offset from the most stable computed form (eV/atom): 0.000
N(E_F) (states/eV/f.u.): 5.79
Size of the total moment (μB/cell): 0.0

=====

Material: NaCa3Sn12
Method: DFT, GGA-PBE
State: optimized geometry

Geometry as POSCAR:
```
NaCa3Sn12
1.0
4.735 0.000 0.000
0.000 4.735 0.000
0.000 0.000 19.220
Na Ca Sn
1 3 12
direct
0.000 0.000 0.000
0.000 0.000 0.252
0.000 0.000 0.500
0.000 0.000 0.748
0.000 0.500 0.123
0.000 0.500 0.375
0.000 0.500 0.625
0.000 0.500 0.877
0.500 0.000 0.123
0.500 0.000 0.375
0.500 0.000 0.625
0.500 0.000 0.877
0.500 0.500 0.000
0.500 0.500 0.248
0.500 0.500 0.500
0.500 0.500 0.752
```

Calculated volume (Å³/cell): 431
N(E_F) (states/eV/f.u.): 9.55
E_tot (hartree per atom): -0.13834
Size of the total moment (μB/cell): 0.0

=====

Material: Na2CaSn6
Method: DFT, GGA-PBE
State: optimized geometry

Geometry as POSCAR:
```
Na2CaSn6
1.0
3.735 -7.215 0.000
3.735 7.215 0.000
0.000 0.000 4.824
Na Ca Sn
2 1 6
direct
0.208 0.792 0.000
0.792 0.208 0.000
0.000 0.000 0.500
0.156 0.457 0.500
0.300 0.300 0.000
0.457 0.156 0.500
0.543 0.844 0.500
0.700 0.700 0.000
0.844 0.543 0.500
```

Calculated volume (Å³/cell): 260
N(E_F) (states/eV/f.u.): 4.36
E_tot (hartree per atom): -0.12550
Size of the total moment (μB/cell): 0.0

=====

Material: NaCa2Sn9
Method: DFT, GGA-PBE
State: optimized geometry

Geometry as POSCAR:
```
NaCa2Sn9
1.0
4.727 0.000 0.000
0.000 4.727 0.000
0.000 0.000 14.403
Na Ca Sn
1 2 9
direct
0.000 0.000 0.000
0.000 0.000 0.337
0.000 0.000 0.663
0.000 0.500 0.165
0.000 0.500 0.500
0.000 0.500 0.835
0.500 0.000 0.165
0.500 0.000 0.500
0.500 0.000 0.835
0.500 0.500 0.000
0.500 0.500 0.332
0.500 0.500 0.668
```

Calculated volume (Å³/cell): 322
N(E_F) (states/eV/f.u.): 6.62
E_tot (hartree per atom): -0.13699
Size of the total moment (μB/cell): 0.0

=====

Material: NaCa2Sn3Te6
Method: DFT, GGA-PBE
State: optimized geometry

Geometry as POSCAR:
```
NaCa2Sn3Te6
1.0
9.937 -2.218 0.000
9.937 2.218 0.000
-2.318 0.000 8.888
Na Ca Sn Te
1 2 3 6
direct
0.000 0.000 0.000
0.334 0.334 0.669
0.666 0.666 0.331
0.000 0.000 0.500
0.333 0.333 0.166
0.667 0.667 0.834
0.166 0.166 0.581
0.170 0.170 0.084
0.498 0.498 0.739
0.502 0.502 0.261
0.830 0.830 0.916
0.834 0.834 0.419
```

Calculated volume (Å³/cell): 392
Formation energy (no corrections) (kJ/mol of atoms): -74.5
N(E_F) (states/eV/f.u.): 4.97
Size of the total moment (μB/cell): 0.0

=====

Material: NaCa2SnTe
Method: DFT, GGA-PBE
State: optimized geometry

Geometry as POSCAR:
```
NaCa2SnTe
1.0
5.913 0.000 0.000
0.000 5.913 0.000
0.000 0.000 5.523
Na Ca Sn Te
1 2 1 1
direct
0.000 0.000 0.000
0.000 0.500 0.500
0.500 0.000 0.500
0.000 0.000 0.500
0.500 0.500 0.000
```

Calculated volume (Å³/cell): 193
Formation energy (no corrections) (kJ/mol of atoms): -35.4
N(E_F) (states/eV/f.u.): 6.28
Size of the total moment (μB/cell): 0.0

=====

Material: Na2CaSnTe4
Method: DFT, GGA-PBE
State: optimized geometry

Geometry as POSCAR:
```
Na2CaSnTe4
1.0
7.800 0.000 0.000
0.000 4.302 0.000
-2.377 0.000 7.661
Na Ca Sn Te
2 1 1 4
direct
0.000 0.000 0.000
0.500 0.500 0.000
0.000 0.500 0.500
0.500 0.000 0.500
0.259 0.000 0.733
0.269 0.500 0.272
0.731 0.500 0.728
0.741 0.000 0.267
```

Calculated volume (Å³/cell): 257
Formation energy (no corrections) (kJ/mol of atoms): -75.1
N(E_F) (states/eV/f.u.): 2.35
Size of the total moment (μB/cell): 0.0

=====

Material: NaCaTl3Sn
Method: DFT, GGA-PBE
State: optimized geometry

Geometry as POSCAR:
```
NaCaTl3Sn
1.0
2.360 -7.494 0.000
2.360 7.494 0.000
0.000 0.000 9.805
Na Ca Tl Sn
2 2 6 2
direct
0.180 0.820 0.750
0.820 0.180 0.250
0.000 0.000 0.000
0.000 0.000 0.500
0.154 0.846 0.250
0.332 0.668 0.005
0.332 0.668 0.495
0.668 0.332 0.505
0.668 0.332 0.995
0.846 0.154 0.750
0.495 0.505 0.250
0.505 0.495 0.750
```

Calculated volume (Å³/cell): 347
N(E_F) (states/eV/f.u.): 2.22
E_tot (hartree per atom): -0.09644
Size of the total moment (μB/cell): 0.0

=====

Material: NaCaTlSn
Method: DFT, GGA-PBE
State: optimized geometry

Geometry as POSCAR:
```
NaCaTlSn
1.0
7.676 0.000 0.000
0.000 7.676 0.000
0.000 0.000 7.676
Na Ca Tl Sn
4 4 4 4
direct
0.000 0.000 0.000
0.000 0.500 0.500
0.500 0.000 0.500
0.500 0.500 0.000
0.000 0.000 0.500
0.000 0.500 0.000
0.500 0.000 0.000
0.500 0.500 0.500
0.250 0.250 0.750
0.250 0.750 0.250
0.750 0.250 0.250
0.750 0.750 0.750
0.250 0.250 0.250
0.250 0.750 0.750
0.750 0.250 0.750
0.750 0.750 0.250
```

Calculated volume (Å³/cell): 452
N(E_F) (states/eV/f.u.): 0.71
E_tot (hartree per atom): -0.10235
Size of the total moment (μB/cell): 0.0

=====

Material: NaCaYSn
Method: DFT, GGA-PBE
State: optimized geometry

Geometry as POSCAR:
```
NaCaYSn
1.0
7.667 0.000 0.000
0.000 7.667 0.000
0.000 0.000 7.667
Na Ca Y Sn
4 4 4 4
direct
0.000 0.000 0.000
0.000 0.500 0.500
0.500 0.000 0.500
0.500 0.500 0.000
0.250 0.250 0.250
0.250 0.750 0.750
0.750 0.250 0.750
0.750 0.750 0.250
0.250 0.250 0.750
0.250 0.750 0.250
0.750 0.250 0.250
0.750 0.750 0.750
0.000 0.000 0.500
0.000 0.500 0.000
0.500 0.000 0.000
0.500 0.500 0.500
```

Calculated volume (Å³/cell): 451
N(E_F) (states/eV/f.u.): 2.23
E_tot (hartree per atom): -0.13837
Size of the total moment (μB/cell): 0.0

=====

Material: Na9SrCa2
Method: DFT, GGA-PBE
State: optimized geometry

Geometry as POSCAR:
```
Na9SrCa2
1.0
3.494 2.017 11.017
-3.494 2.017 11.017
0.000 -4.034 11.017
Na Sr Ca
9 1 2
direct
0.000 0.000 0.000
0.090 0.090 0.579
0.090 0.579 0.090
0.165 0.165 0.165
0.421 0.910 0.910
0.579 0.090 0.090
0.835 0.835 0.835
0.910 0.421 0.910
0.910 0.910 0.421
0.500 0.500 0.500
0.356 0.356 0.356
0.644 0.644 0.644
```

Calculated volume (Å³/cell): 466
N(E_F) (states/eV/f.u.): 7.95
E_tot (hartree per atom): -0.05184
Size of the total moment (μB/cell): 0.0

=====

Material: Na2SrCa4
Method: DFT, GGA-PBE
State: optimized geometry

Geometry as POSCAR:
```
Na2SrCa4
1.0
6.347 0.000 0.000
0.000 23.919 0.000
0.000 0.000 3.947
Na Sr Ca
4 2 8
direct
0.000 0.070 0.000
0.000 0.930 0.000
0.500 0.430 0.000
0.500 0.570 0.000
0.000 0.500 0.500
0.500 0.000 0.500
0.000 0.205 0.500
0.000 0.346 0.000
0.000 0.654 0.000
0.000 0.795 0.500
0.500 0.154 0.000
0.500 0.295 0.500
0.500 0.705 0.500
0.500 0.846 0.000
```

Calculated volume (Å³/cell): 599
Offset from the most stable computed form (eV/atom): 0.000
N(E_F) (states/eV/f.u.): 6.85
Size of the total moment (μB/cell): 0.0

=====

Material: NaSr3Ca
Method: DFT, GGA-PBE
State: optimized geometry

Geometry as POSCAR:
```
NaSr3Ca
1.0
9.801 0.000 0.000
0.000 4.082 0.000
-3.679 0.000 12.447
Na Sr Ca
2 6 2
direct
0.198 0.250 0.056
0.802 0.750 0.944
0.004 0.750 0.242
0.381 0.250 0.368
0.431 0.250 0.844
0.569 0.750 0.156
0.619 0.750 0.632
0.996 0.250 0.758
0.185 0.750 0.564
0.815 0.250 0.436
```

Calculated volume (Å³/cell): 498
Offset from the most stable computed form (eV/atom): 0.000
N(E_F) (states/eV/f.u.): 5.01
Size of the total moment (μB/cell): 0.0

=====

Material: NaSr4Ca8
Method: DFT, GGA-PBE
State: optimized geometry

Geometry as POSCAR:
```
NaSr4Ca8
1.0
6.387 -2.836 0.000
6.387 2.836 0.000
-1.705 0.000 16.299
Na Sr Ca
1 4 8
direct
0.000 0.000 0.000
0.155 0.155 0.542
0.396 0.396 0.852
0.603 0.603 0.149
0.844 0.844 0.459
0.087 0.087 0.775
0.223 0.223 0.303
0.297 0.297 0.077
0.468 0.468 0.621
0.531 0.531 0.379
0.703 0.703 0.924
0.776 0.776 0.698
0.912 0.912 0.226
```

Calculated volume (Å³/cell): 590
N(E_F) (states/eV/f.u.): 16.66
E_tot (hartree per atom): -0.06678
Size of the total moment (μB/cell): 0.0